1.
The following is a DFT calculation (PBE) of a relaxed BaAg2PbSe3S crystal.

The structure in CIF format:
```
data_BaAg2PbSe3S
_cell_length_a 6.698
_cell_length_b 6.744
_cell_length_c 6.786
_cell_angle_alpha 116.01
_cell_angle_beta 111.23
_cell_angle_gamma 100.82
_space_group_name_H-M_alt 'P 1'
_space_group_IT_number 1
_space_group_name_Hall 'P 1'
loop_
_atom_site_label
_atom_site_type_symbol
_atom_site_fract_x
_atom_site_fract_y
_atom_site_fract_z
Ba1 Ba 0.000 0.000 0.000
Ag1 Ag 0.318 0.826 0.513
Ag2 Ag 0.667 0.174 0.486
Pb1 Pb 0.493 0.512 0.000
Se1 Se 0.111 0.112 0.586
Se2 Se 0.517 0.534 0.414
Se3 Se 0.874 0.466 0.973
S1 S 0.481 0.899 0.022
```

Computed properties:
theoretical density	5890	kg/m3
final energy	-30.896	eV/f.u.


2.
The following is a DFT calculation (PBE) of a relaxed BaAg2PbSe2S2 crystal.

The structure in CIF format:
```
data_BaAg2PbSe2S2
_cell_length_a 10.184
_cell_length_b 8.488
_cell_length_c 7.102
_cell_angle_alpha 90.00
_cell_angle_beta 132.13
_cell_angle_gamma 90.00
_space_group_name_H-M_alt 'C 1 2 1'
_space_group_IT_number 5
_space_group_name_Hall 'C 2y'
loop_
_atom_site_label
_atom_site_type_symbol
_atom_site_fract_x
_atom_site_fract_y
_atom_site_fract_z
Ba1 Ba 0.000 0.000 0.000
Ag1 Ag 0.000 0.312 0.500
Ag2 Ag 0.000 0.678 0.500
Pb1 Pb 0.000 0.507 0.000
Se1 Se 0.205 0.321 0.413
S1 S 0.188 0.681 0.967
```

Computed properties:
theoretical density	5706	kg/m3
final energy	-31.508	eV/f.u.


3.
The following is a DFT calculation (PBE) of a relaxed Ba2AgPd crystal.

The structure in CIF format:
```
data_Ba2AgPd
_cell_length_a 7.620
_cell_length_b 7.620
_cell_length_c 7.620
_cell_angle_alpha 90.00
_cell_angle_beta 90.00
_cell_angle_gamma 90.00
_space_group_name_H-M_alt 'F -4 3 m'
_space_group_IT_number 216
_space_group_name_Hall 'F -4 2 3'
loop_
_atom_site_label
_atom_site_type_symbol
_atom_site_fract_x
_atom_site_fract_y
_atom_site_fract_z
Ba1 Ba 0.000 0.000 0.000
Ba2 Ba 0.250 0.250 0.250
Ag1 Ag 0.250 0.250 0.750
Pd1 Pd 0.000 0.000 0.500
```

Computed properties:
theoretical density	7339	kg/m3
energy above the lowest structure with this stoichiometry	27.3	kJ/mol of atoms